No. 1
Compound: LiPm2MnS4
Source: Alexandria
Functional: PBE
Structure: optimized geometry

Values from the calculation:
Space-group type   P2/m
Calculated density   5.331 g cm⁻³
Uncorrected formation energy   -1.339 eV/atom
Magnetization   0.03 μB/cell

Unit cell a=6.1494 b=3.9077 c=6.6896 alpha=90.00 beta=111.50 gamma=90.00
Last column: nearest neighbours and their distance in Å.
Sites, in units of the cell vectors:
Li: 0.0000 0.0000 0.0000  6 S 2.57-2.58
Pm: 0.5000 0.0000 0.5000  6 S 2.76-2.77
Pm: 0.5000 0.5000 0.0000  6 S 2.82-2.85
Mn: 0.0000 0.5000 0.5000  6 S 2.50
S: 0.2004 0.0000 0.7238  2 Mn 2.50, 1 Li 2.57, 1 Pm 2.77
S: 0.2140 0.5000 0.2467  1 Mn 2.50, 2 Li 2.58, 2 Pm 2.76
S: 0.7860 0.5000 0.7533  1 Mn 2.50, 2 Li 2.58, 2 Pm 2.76
S: 0.7996 0.0000 0.2762  2 Mn 2.50, 1 Li 2.57, 1 Pm 2.77

=====

No. 2
Compound: LiPmMnSb
Source: Alexandria
Functional: PBE
Structure: optimized geometry

Values from the calculation:
Space-group type   F-43m
Calculated density   7.160 g cm⁻³
Uncorrected formation energy   -0.221 eV/atom
Magnetization   8.04 μB/cell

Unit cell a=6.7303 b=6.7303 c=6.7303 alpha=90.00 beta=90.00 gamma=90.00
Last column: nearest neighbours and their distance in Å.
Sites, in units of the cell vectors:
Li: 0.0000 0.0000 0.0000  4 Sb 2.91, 4 Pm 2.91
Li: 0.0000 0.5000 0.5000  4 Sb 2.91, 4 Pm 2.91
Li: 0.5000 0.0000 0.5000  4 Sb 2.91, 4 Pm 2.91
Li: 0.5000 0.5000 0.0000  4 Sb 2.91, 4 Pm 2.91
Pm: 0.2500 0.2500 0.2500  4 Mn 2.91, 4 Li 2.91
Pm: 0.2500 0.7500 0.7500  4 Mn 2.91, 4 Li 2.91
Pm: 0.7500 0.2500 0.7500  4 Mn 2.91, 4 Li 2.91
Pm: 0.7500 0.7500 0.2500  4 Mn 2.91, 4 Li 2.91
Mn: 0.0000 0.0000 0.5000  4 Sb 2.91, 4 Pm 2.91
Mn: 0.0000 0.5000 0.0000  4 Sb 2.91, 4 Pm 2.91
Mn: 0.5000 0.0000 0.0000  4 Sb 2.91, 4 Pm 2.91
Mn: 0.5000 0.5000 0.5000  4 Sb 2.91, 4 Pm 2.91
Sb: 0.2500 0.2500 0.7500  4 Mn 2.91, 4 Li 2.91
Sb: 0.2500 0.7500 0.2500  4 Mn 2.91, 4 Li 2.91
Sb: 0.7500 0.2500 0.2500  4 Mn 2.91, 4 Li 2.91
Sb: 0.7500 0.7500 0.7500  4 Mn 2.91, 4 Li 2.91

=====

No. 3
Compound: LiPm2MnSe5
Source: Alexandria
Functional: PBE
Structure: optimized geometry

Values from the calculation:
Space-group type   Cmc2_1
Calculated density   6.034 g cm⁻³
Uncorrected formation energy   -1.394 eV/atom
Magnetization   8.00 μB/cell

Unit cell a=9.1804 b=9.1804 c=11.2458 alpha=90.00 beta=90.00 gamma=154.30
Last column: nearest neighbours and their distance in Å.
Sites, in units of the cell vectors:
Li: 0.2199 0.7801 0.5000  5 Se 2.48-2.75
Li: 0.7801 0.2199 0.0000  5 Se 2.48-2.75
Pm: 0.1121 0.8879 0.8057  8 Se 3.01-3.33
Pm: 0.1223 0.8777 0.1858  7 Se 2.97-3.11
Pm: 0.8777 0.1223 0.6858  7 Se 2.97-3.11
Pm: 0.8879 0.1121 0.3057  8 Se 3.01-3.33
Mn: 0.4039 0.5961 0.9847  5 Se 2.49-2.53
Mn: 0.5961 0.4039 0.4847  5 Se 2.49-2.53
Se: 0.0339 0.9661 0.5642  2 Mn 2.49
Se: 0.2973 0.7027 0.8382  1 Mn 2.52, 2 Li 2.75
Se: 0.3101 0.6899 0.1524  1 Mn 2.53, 2 Li 2.72
Se: 0.3583 0.6417 0.4967  1 Li 2.48
Se: 0.4817 0.5183 0.7992  1 Mn 2.51
Se: 0.5183 0.4817 0.2992  1 Mn 2.51
Se: 0.6417 0.3583 0.9967  1 Li 2.48
Se: 0.6899 0.3101 0.6524  1 Mn 2.53, 2 Li 2.72
Se: 0.7027 0.2973 0.3382  1 Mn 2.52, 2 Li 2.75
Se: 0.9661 0.0339 0.0642  2 Mn 2.49